! PBE CdIn6GaHg2, optimized geometry; values from VASP
&SYSTEM
  ibrav = 0, nat = 10, ntyp = 4
/
ATOMIC_SPECIES
Cd 112.41 Cd.upf
In 114.82 In.upf
Ga 69.72 Ga.upf
Hg 200.59 Hg.upf
ATOMIC_POSITIONS angstrom
Cd 13.861 6.603 2.592
In 8.118 2.223 0.876
In 7.344 7.428 1.278
In 12.288 4.203 1.035
In 10.940 7.334 3.195
In 10.392 2.335 3.160
In 6.396 4.431 2.749
Ga 5.152 2.440 0.660
Hg 9.360 5.097 1.671
Hg 4.100 2.159 3.369
CELL_PARAMETERS angstrom
9.381 -0.171 0.041
4.501 7.126 0.139
4.634 2.359 3.936
! final energy	-2.0683	eV per atom
! symmetry	P1 (1)
! formation energy from the elements	0.029	eV per atom